# Cs3TmSc2S6

Crystalline Cs3TmSc2S6 at its relaxed geometry (PBE-GGA, the Alexandria database).

- uncorrected energy (eV for the cell shown) = -65.16
- V (Å³ per cell) = 324
- space group = No. 12

Geometry as extended XYZ:
```
12
Lattice="3.424 -5.929 0.000 3.424 5.929 0.000 -2.283 0.000 7.991" Properties=species:S:1:pos:R:3 pbc="T T T"
Cs 0.000 0.000 0.000
Cs 3.424 1.961 0.000
Cs 3.424 -1.961 0.000
Tm 2.282 0.000 3.996
Sc 2.282 3.952 3.996
Sc 2.282 -3.952 3.996
S 1.110 2.030 2.593
S -0.061 0.000 5.393
S 1.110 -2.030 2.593
S 3.454 2.030 5.399
S 4.626 0.000 2.598
S 3.454 -2.030 5.399
```